Entry 1:
Density functional theory data (PBE) for an optimized crystal structure of PuAg2Pd.

Computed properties:
Energy above the most stable polymorph in this dataset   0.093 eV/atom
DFT formation energy   -0.053 eV per atom

a = 4.987 Å, b = 4.060 Å, c = 4.060 Å
α = 90.00°, β = 90.00°, γ = 90.00°
Last column: magnetic moment on the atom in μB.
Fractional positions:
Pu 0.500 0.500 0.500  5.31
Ag 0.000 0.500 0.000  0.03
Ag 0.000 0.000 0.500  0.03
Pd 0.500 0.000 0.000  -0.04


Entry 2:
Density functional theory data (PBE) for an optimized crystal structure of Pu3AgPd3.

Computed properties:
Energy above the most stable polymorph in this dataset   0.000 eV/atom
DFT formation energy   -0.329 eV per atom

a = 4.414 Å, b = 5.609 Å, c = 13.762 Å
α = 90.00°, β = 90.00°, γ = 113.17°
Last column: magnetic moment on the atom in μB.
Fractional positions:
Pu 0.539 0.077 0.250  5.38
Pd 0.095 0.191 0.403  -0.06
Pd 0.905 0.809 0.903  -0.06
Pd 0.905 0.809 0.597  -0.06
Pu 0.193 0.387 0.604  5.36
Ag 0.500 0.000 0.000  0.03
Pu 0.461 0.923 0.750  5.38
Pd 0.095 0.191 0.097  -0.06
Pu 0.807 0.613 0.396  5.36
Pd 0.262 0.524 0.250  -0.05
Pu 0.807 0.613 0.104  5.36
Ag 0.500 0.000 0.500  0.03
Pu 0.193 0.387 0.896  5.36
Pd 0.738 0.476 0.750  -0.05


Entry 3:
Density functional theory data (PBE) for an optimized crystal structure of Pu4AgPd4.

Computed properties:
DFT formation energy   0.223 eV per atom

a = 4.251 Å, b = 8.766 Å, c = 8.766 Å
α = 90.00°, β = 90.00°, γ = 90.00°
Fractional positions:
Pd 0.499 0.183 0.139
Pu 0.499 0.540 0.131
Pd 0.499 0.817 0.861
Pu 0.001 0.960 0.369
Pd 0.999 0.639 0.317
Pd 0.001 0.317 0.361
Pd 0.001 0.683 0.639
Pd 0.999 0.361 0.683
Ag 0.500 0.500 0.500
Pu 0.999 0.369 0.040
Pd 0.501 0.139 0.817
Pu 0.499 0.460 0.869
Pd 0.501 0.861 0.183
Pu 0.999 0.631 0.960
Pu 0.001 0.040 0.631
Ag 0.000 0.000 0.000
Pu 0.501 0.131 0.460
Pu 0.501 0.869 0.540


Entry 4:
Density functional theory data (PBE) for an optimized crystal structure of PuAg2Pd5.

Computed properties:
DFT formation energy   -0.312 eV per atom

a = 4.190 Å, b = 4.190 Å, c = 8.381 Å
α = 104.48°, β = 104.48°, γ = 90.00°
Last column: magnetic moment on the atom in μB.
Fractional positions:
Pd 0.875 0.375 0.749  -0.07
Pu 0.000 0.000 0.000  4.68
Pd 0.625 0.125 0.251  -0.07
Pd 0.125 0.625 0.251  -0.07
Ag 0.251 0.251 0.501  -0.01
Pd 0.500 0.500 0.000  -0.09
Pd 0.375 0.875 0.749  -0.07
Ag 0.749 0.749 0.499  -0.01


Entry 5:
Density functional theory data (PBE) for an optimized crystal structure of PuAgPd.

Computed properties:
Energy above the most stable polymorph in this dataset   0.043 eV/atom
DFT formation energy   -0.207 eV per atom

a = 3.001 Å, b = 4.856 Å, c = 4.856 Å
α = 120.00°, β = 90.00°, γ = 90.00°
Last column: magnetic moment on the atom in μB.
Fractional positions:
Pu 0.667 0.667 0.333  5.46
Pd 0.166 0.333 0.667  0.00
Ag 0.167 0.000 0.000  0.03


Entry 6:
Density functional theory data (PBE) for an optimized crystal structure of Pu8AgPd5.

Computed properties:
DFT formation energy   -0.212 eV per atom

a = 7.607 Å, b = 7.607 Å, c = 7.607 Å
α = 109.35°, β = 109.72°, γ = 109.35°
Last column: magnetic moment on the atom in μB.
Fractional positions:
Pd 0.750 0.617 0.626  -0.04
Pu 0.972 0.094 0.733  5.45
Pu 0.267 0.239 0.362  5.45
Pd 0.374 0.124 0.991  -0.04
Ag 0.250 0.500 0.750  0.05
Pu 0.638 0.906 0.877  5.45
Pd 0.009 0.383 0.133  -0.04
Pd 0.867 0.876 0.250  -0.04
Pd 0.500 0.000 0.500  -0.04
Pu 0.123 0.761 0.028  5.45
Pu 0.760 0.242 0.365  5.41
Pu 0.635 0.395 0.877  5.41
Pu 0.123 0.758 0.518  5.41
Pu 0.482 0.605 0.240  5.41


Entry 7:
Density functional theory data (PBE) for an optimized crystal structure of Pu3Ag5Pd2.

Computed properties:
DFT formation energy   -0.044 eV per atom

a = 5.688 Å, b = 9.322 Å, c = 9.322 Å
α = 91.31°, β = 72.24°, γ = 72.24°
Last column: magnetic moment on the atom in μB.
Fractional positions:
Ag 0.115 0.534 0.236  0.02
Ag 0.509 0.741 0.741  0.02
Pu 0.250 0.000 0.000  5.68
Pd 0.641 0.012 0.706  -0.03
Ag 0.009 0.741 0.741  0.02
Ag 0.250 0.500 0.500  0.01
Ag 0.885 0.466 0.764  0.02
Ag 0.491 0.259 0.259  0.02
Pd 0.141 0.706 0.012  -0.03
Pu 0.873 0.892 0.363  5.43
Ag 0.385 0.764 0.466  0.02
Pd 0.359 0.988 0.294  -0.03
Pu 0.627 0.637 0.108  5.43
Pu 0.127 0.108 0.637  5.43
Ag 0.750 0.500 0.500  0.01
Ag 0.991 0.259 0.259  0.02
Pu 0.750 0.000 0.000  5.68
Pd 0.859 0.294 0.988  -0.03
Ag 0.615 0.236 0.534  0.02
Pu 0.373 0.363 0.892  5.43


Entry 8:
Density functional theory data (PBE) for an optimized crystal structure of PuAgPdRh.

Computed properties:
DFT formation energy   -0.276 eV per atom

a = 4.703 Å, b = 4.703 Å, c = 4.703 Å
α = 60.00°, β = 60.00°, γ = 60.00°
Last column: magnetic moment on the atom in μB.
Fractional positions:
Pd 0.250 0.250 0.250  -0.04
Pu 0.500 0.500 0.500  5.02
Ag 0.000 0.000 0.000  0.02
Rh 0.750 0.750 0.750  -0.23


Entry 9:
Density functional theory data (PBE) for an optimized crystal structure of PuAgSbPd.

Computed properties:
Raw formation energy   -0.2543 eV/atom

a = 4.962 Å, b = 4.962 Å, c = 4.962 Å
α = 60.00°, β = 60.00°, γ = 60.00°
Last column: magnetic moment on the atom in μB.
Fractional positions:
Pu 0.500 0.500 0.500  5.32
Sb 0.250 0.250 0.250  0.00
Pd 0.000 0.000 0.000  0.07
Ag 0.750 0.750 0.750  0.03


Entry 10:
Density functional theory data (PBE) for an optimized crystal structure of PuScAgPd.

Computed properties:
DFT formation energy   -0.264 eV per atom

a = 4.951 Å, b = 4.951 Å, c = 4.951 Å
α = 60.00°, β = 60.00°, γ = 60.00°
Last column: magnetic moment on the atom in μB.
Fractional positions:
Sc 0.750 0.750 0.750  0.13
Pd 0.500 0.500 0.500  -0.02
Pu 0.250 0.250 0.250  5.26
Ag 0.000 0.000 0.000  0.04


Number 1: total energy -6.36 eV/atom. Number 2: total energy -9.10 eV/atom. Number 3: total energy -8.77 eV/atom. Number 4: total energy -6.06 eV/atom. Number 5: total energy -7.67 eV/atom. Number 6: total energy -10.46 eV/atom. Number 7: total energy -6.81 eV/atom. Number 8: total energy -7.71 eV/atom. Number 9: total energy -6.88 eV/atom. Number 10: total energy -7.44 eV/atom.